No. 1
This record from Alexandria describes a relaxed structure of V2AgAu2. The functional is PBE-GGA.

POSCAR file:
```
V2AgAu2
1.0
7.826 0.000 0.000
0.000 7.826 0.000
0.000 0.000 2.769
V Ag Au
4 2 4
direct
0.103 0.397 0.000 V
0.397 0.897 0.000 V
0.603 0.103 0.000 V
0.897 0.603 0.000 V
0.000 0.000 0.000 Ag
0.500 0.500 0.000 Ag
0.187 0.687 0.500 Au
0.313 0.187 0.500 Au
0.687 0.813 0.500 Au
0.813 0.313 0.500 Au
```

Results
Calculated formation energy in eV per atom: 0.22
D(E_F) in states/eV/cell: 9.82
Total DFT energy (no corrections) in eV/atom: -5.3116


No. 2
This record from Alexandria describes a relaxed structure of BOsN3. The functional is PBE-GGA.

POSCAR file:
```
BOsN3
1.0
3.838 0.000 0.000
0.000 3.838 0.000
0.000 0.000 3.838
B Os N
1 1 3
direct
0.000 0.000 0.000 B
0.500 0.500 0.500 Os
0.000 0.500 0.500 N
0.500 0.000 0.500 N
0.500 0.500 0.000 N
```

Results
Formation energy from raw total energies in eV/atom: 1.906
D(E_F) in states/eV/cell: 2.85
Total DFT energy (no corrections) in eV/atom: -6.6703


No. 3
This record from Alexandria describes a relaxed structure of AcSm6Y6. The functional is PBE-GGA.

POSCAR file:
```
AcSm6Y6
1.0
3.607 -5.696 0.000
3.607 5.696 0.000
0.000 0.000 11.181
Ac Sm Y
1 6 6
direct
0.000 0.000 0.000 Ac
0.000 0.000 0.338 Sm
0.000 0.000 0.662 Sm
0.258 0.742 0.500 Sm
0.360 0.640 0.000 Sm
0.640 0.360 0.000 Sm
0.742 0.258 0.500 Sm
0.000 0.500 0.227 Y
0.000 0.500 0.773 Y
0.500 0.000 0.227 Y
0.500 0.000 0.773 Y
0.500 0.500 0.308 Y
0.500 0.500 0.692 Y
```

Results
Calculated formation energy in eV per atom: 0.21
D(E_F) in states/eV/cell: 22.99
Total DFT energy (no corrections) in eV/atom: -5.2712